[1]
# YNiW2, relaxed, DFT PBE
# - distance to the lowest polymorph of the same formula (eV per formula unit) = 1.17
# - total magnetic moment (μB per formula unit) = 0.0
data_YNiW2
_chemical_formula_sum 'Y2 Ni2 W4'
_cell_length_a 5.370
_cell_length_b 9.880
_cell_length_c 2.821
_cell_angle_alpha 90.00
_cell_angle_beta 111.84
_cell_angle_gamma 90.00
_space_group_name_H-M_alt 'C 1 2/m 1'
_space_group_IT_number 12
_space_group_name_Hall '-C 2y'
loop_
_atom_site_label
_atom_site_type_symbol
_atom_site_fract_x
_atom_site_fract_y
_atom_site_fract_z
Y1 Y 0.000 0.000 0.000
Ni1 Ni 0.000 0.500 0.000
W1 W 0.250 0.250 0.500

=====

[2]
# YNiW2, relaxed, DFT PBE
# - distance to the lowest polymorph of the same formula (eV per formula unit) = 0.00
# - total magnetic moment (μB per formula unit) = 0.0
data_YNiW2
_chemical_formula_sum 'Y1 Ni1 W2'
_cell_length_a 3.244
_cell_length_b 3.247
_cell_length_c 6.775
_cell_angle_alpha 90.00
_cell_angle_beta 90.10
_cell_angle_gamma 90.00
_space_group_name_H-M_alt 'P 1 m 1'
_space_group_IT_number 6
_space_group_name_Hall 'P -2y'
loop_
_atom_site_label
_atom_site_type_symbol
_atom_site_fract_x
_atom_site_fract_y
_atom_site_fract_z
Y1 Y 0.000 0.000 0.000
Ni1 Ni 0.502 0.500 0.281
W1 W 0.003 0.000 0.491
W2 W 0.499 0.500 0.692

=====

[3]
# YNiW2, relaxed, DFT PBE
# - distance to the lowest polymorph of the same formula (eV per formula unit) = 2.70
# - total magnetic moment (μB per formula unit) = 0.0
data_YNiW2
_chemical_formula_sum 'Y4 Ni4 W8'
_cell_length_a 6.451
_cell_length_b 6.451
_cell_length_c 6.451
_cell_angle_alpha 90.00
_cell_angle_beta 90.00
_cell_angle_gamma 90.00
_space_group_name_H-M_alt 'F m -3 m'
_space_group_IT_number 225
_space_group_name_Hall '-F 4 2 3'
loop_
_atom_site_label
_atom_site_type_symbol
_atom_site_fract_x
_atom_site_fract_y
_atom_site_fract_z
Y1 Y 0.000 0.000 0.000
Ni1 Ni 0.000 0.000 0.500
W1 W 0.250 0.250 0.250

=====

[4]
# YNiW2, relaxed, DFT PBE
# - distance to the lowest polymorph of the same formula (eV per formula unit) = 1.73
# - total magnetic moment (μB per formula unit) = 0.0
data_YNiW2
_chemical_formula_sum 'Y2 Ni2 W4'
_cell_length_a 5.352
_cell_length_b 9.508
_cell_length_c 2.761
_cell_angle_alpha 90.00
_cell_angle_beta 90.00
_cell_angle_gamma 90.00
_space_group_name_H-M_alt 'C m m m'
_space_group_IT_number 65
_space_group_name_Hall '-C 2 2'
loop_
_atom_site_label
_atom_site_type_symbol
_atom_site_fract_x
_atom_site_fract_y
_atom_site_fract_z
Y1 Y 0.000 0.000 0.000
Ni1 Ni 0.000 0.500 0.000
W1 W 0.250 0.250 0.500

=====

[5]
# Y2Ni2W, relaxed, DFT PBE
# - total magnetic moment (μB per formula unit) = 0.0
# - DFT total energy (eV per atom) = -7.4999
data_Y2Ni2W
_chemical_formula_sum 'Y4 Ni4 W2'
_cell_length_a 6.526
_cell_length_b 6.526
_cell_length_c 4.473
_cell_angle_alpha 90.00
_cell_angle_beta 90.00
_cell_angle_gamma 90.00
_space_group_name_H-M_alt 'P 4/m b m'
_space_group_IT_number 127
_space_group_name_Hall '-P 4 2ab'
loop_
_atom_site_label
_atom_site_type_symbol
_atom_site_fract_x
_atom_site_fract_y
_atom_site_fract_z
Y1 Y 0.179 0.321 0.000
Ni1 Ni 0.134 0.634 0.500
W1 W 0.000 0.000 0.500

=====

[6]
# YNiW2, relaxed, DFT PBE
# - distance to the lowest polymorph of the same formula (eV per formula unit) = 0.62
# - total magnetic moment (μB per formula unit) = 0.0
data_YNiW2
_chemical_formula_sum 'Y1 Ni1 W2'
_cell_length_a 3.294
_cell_length_b 4.312
_cell_length_c 4.930
_cell_angle_alpha 90.00
_cell_angle_beta 90.00
_cell_angle_gamma 90.00
_space_group_name_H-M_alt 'P m m m'
_space_group_IT_number 47
_space_group_name_Hall '-P 2 2'
loop_
_atom_site_label
_atom_site_type_symbol
_atom_site_fract_x
_atom_site_fract_y
_atom_site_fract_z
Y1 Y 0.000 0.000 0.000
Ni1 Ni 0.500 0.500 0.000
W1 W 0.000 0.500 0.500
W2 W 0.500 0.000 0.500

=====

[7]
# YNiW2, relaxed, DFT PBE
# - distance to the lowest polymorph of the same formula (eV per formula unit) = 1.09
# - total magnetic moment (μB per formula unit) = 0.0
data_YNiW2
_chemical_formula_sum 'Y2 Ni2 W4'
_cell_length_a 3.412
_cell_length_b 4.869
_cell_length_c 8.585
_cell_angle_alpha 90.00
_cell_angle_beta 90.00
_cell_angle_gamma 90.00
_space_group_name_H-M_alt 'I m m 2'
_space_group_IT_number 44
_space_group_name_Hall 'I 2 -2'
loop_
_atom_site_label
_atom_site_type_symbol
_atom_site_fract_x
_atom_site_fract_y
_atom_site_fract_z
Y1 Y 0.000 0.000 0.000
Ni1 Ni 0.000 0.500 0.763
W1 W 0.000 0.000 0.494
W2 W 0.000 0.500 0.217

=====

[8]
# YNiW2, relaxed, DFT PBE
# - distance to the lowest polymorph of the same formula (eV per formula unit) = 0.52
# - total magnetic moment (μB per formula unit) = 0.0
data_YNiW2
_chemical_formula_sum 'Y1 Ni1 W2'
_cell_length_a 2.816
_cell_length_b 2.816
_cell_length_c 8.612
_cell_angle_alpha 90.00
_cell_angle_beta 90.00
_cell_angle_gamma 90.00
_space_group_name_H-M_alt 'P 4 m m'
_space_group_IT_number 99
_space_group_name_Hall 'P 4 -2'
loop_
_atom_site_label
_atom_site_type_symbol
_atom_site_fract_x
_atom_site_fract_y
_atom_site_fract_z
Y1 Y 0.000 0.000 0.000
Ni1 Ni 0.500 0.500 0.256
W1 W 0.000 0.000 0.446
W2 W 0.500 0.500 0.706

=====

[9]
# YNiW2, relaxed, DFT PBE
# - distance to the lowest polymorph of the same formula (eV per formula unit) = 0.96
# - total magnetic moment (μB per formula unit) = 0.0
data_YNiW2
_chemical_formula_sum 'Y2 Ni2 W4'
_cell_length_a 3.845
_cell_length_b 3.845
_cell_length_c 9.626
_cell_angle_alpha 90.00
_cell_angle_beta 90.00
_cell_angle_gamma 90.00
_space_group_name_H-M_alt 'I 4/m m m'
_space_group_IT_number 139
_space_group_name_Hall '-I 4 2'
loop_
_atom_site_label
_atom_site_type_symbol
_atom_site_fract_x
_atom_site_fract_y
_atom_site_fract_z
Y1 Y 0.000 0.000 0.000
Ni1 Ni 0.000 0.000 0.500
W1 W 0.000 0.500 0.250

=====

[10]
# YNiW2, relaxed, DFT PBE
# - distance to the lowest polymorph of the same formula (eV per formula unit) = 1.04
# - total magnetic moment (μB per formula unit) = 0.0
data_YNiW2
_chemical_formula_sum 'Y1 Ni1 W2'
_cell_length_a 3.248
_cell_length_b 3.248
_cell_length_c 6.860
_cell_angle_alpha 90.00
_cell_angle_beta 90.00
_cell_angle_gamma 90.00
_space_group_name_H-M_alt 'P 4/m m m'
_space_group_IT_number 123
_space_group_name_Hall '-P 4 2'
loop_
_atom_site_label
_atom_site_type_symbol
_atom_site_fract_x
_atom_site_fract_y
_atom_site_fract_z
Y1 Y 0.000 0.000 0.000
Ni1 Ni 0.000 0.000 0.500
W1 W 0.500 0.500 0.323

=====

[11]
# YNiW2, relaxed, DFT PBE
# - distance to the lowest polymorph of the same formula (eV per formula unit) = 0.34
# - total magnetic moment (μB per formula unit) = 0.0
data_YNiW2
_chemical_formula_sum 'Y2 Ni2 W4'
_cell_length_a 3.032
_cell_length_b 4.514
_cell_length_c 10.214
_cell_angle_alpha 90.00
_cell_angle_beta 90.00
_cell_angle_gamma 90.00
_space_group_name_H-M_alt 'I m m m'
_space_group_IT_number 71
_space_group_name_Hall '-I 2 2'
loop_
_atom_site_label
_atom_site_type_symbol
_atom_site_fract_x
_atom_site_fract_y
_atom_site_fract_z
Y1 Y 0.000 0.000 0.000
Ni1 Ni 0.000 0.000 0.500
W1 W 0.000 0.500 0.224

=====

[12]
# YNiW2, relaxed, DFT PBE
# - distance to the lowest polymorph of the same formula (eV per formula unit) = 1.01
# - total magnetic moment (μB per formula unit) = 0.0
data_YNiW2
_chemical_formula_sum 'Y1 Ni1 W2'
_cell_length_a 2.966
_cell_length_b 4.997
_cell_length_c 4.807
_cell_angle_alpha 90.00
_cell_angle_beta 97.58
_cell_angle_gamma 90.00
_space_group_name_H-M_alt 'P 1 2/m 1'
_space_group_IT_number 10
_space_group_name_Hall '-P 2y'
loop_
_atom_site_label
_atom_site_type_symbol
_atom_site_fract_x
_atom_site_fract_y
_atom_site_fract_z
Y1 Y 0.000 0.000 0.000
Ni1 Ni 0.500 0.000 0.500
W1 W 0.308 0.500 0.743

=====

> Which value of total magnetic moment does entry 7 give?

0.0 μB per formula unit

=====

> What is the formula in the tenth record?

YNiW2

=====

> What is the total magnetic moment in the first record?

0.0 μB per formula unit